P:
# Pu2SbH PBE relaxed
# * magnetization: 1.43 μB/atom
data_Pu2SbH
_chemical_formula_sum 'Pu8 Sb4 H4'
_space_group_name_H-M_alt 'C m m m'
_space_group_IT_number 65
_space_group_name_Hall '-C 2 2'
_cell_length_a 4.651
_cell_length_b 16.401
_cell_length_c 4.239
_cell_angle_alpha 90.00
_cell_angle_beta 90.00
_cell_angle_gamma 90.00
loop_
_atom_site_label
_atom_site_type_symbol
_atom_site_fract_x
_atom_site_fract_y
_atom_site_fract_z
_atom_site_occupancy
Pu1 Pu 0.000 0.000 0.000 1
Pu2 Pu 0.000 0.188 0.500 1
Pu3 Pu 0.000 0.500 0.500 1
Sb1 Sb 0.000 0.353 0.000 1
H1 H 0.000 0.055 0.500 1

Q:
# Pu2SbH PBE relaxed
# * magnetization: 0.00 μB/atom
data_Pu2SbH
_chemical_formula_sum 'Pu6 Sb3 H3'
_space_group_name_H-M_alt 'R -3 m'
_space_group_IT_number 166
_space_group_name_Hall '-R 3 2"'
_cell_length_a 3.8558
_cell_length_b 3.8558
_cell_length_c 15.8648
_cell_angle_alpha 90.00
_cell_angle_beta 90.00
_cell_angle_gamma 120.00
loop_
_atom_site_label
_atom_site_type_symbol
_atom_site_fract_x
_atom_site_fract_y
_atom_site_fract_z
_atom_site_occupancy
Pu1 Pu 0.0000 0.0000 0.1985 1
Sb1 Sb 0.0000 0.0000 0.0000 1
H1 H 0.0000 0.0000 0.5000 1

R:
# Pu2SbH PBE relaxed
# * magnetization: 0.00 μB/atom
data_Pu2SbH
_chemical_formula_sum 'Pu8 Sb4 H4'
_space_group_name_H-M_alt 'C m c m'
_space_group_IT_number 63
_space_group_name_Hall '-C 2c 2'
_cell_length_a 3.523
_cell_length_b 9.982
_cell_length_c 7.647
_cell_angle_alpha 90.00
_cell_angle_beta 90.00
_cell_angle_gamma 90.00
loop_
_atom_site_label
_atom_site_type_symbol
_atom_site_fract_x
_atom_site_fract_y
_atom_site_fract_z
_atom_site_occupancy
Pu1 Pu 0.000 0.179 0.038 1
Sb1 Sb 0.000 0.468 0.250 1
H1 H 0.000 0.263 0.750 1

The most stable arrangement is P, and the next structure is 415 meV per atom less stable.

P:
# PuScH2 PBE relaxed
# * magnetization: 1.40 μB/atom
data_PuScH2
_chemical_formula_sum 'Pu3 Sc3 H6'
_space_group_name_H-M_alt 'R 3 m'
_space_group_IT_number 160
_space_group_name_Hall 'R 3 -2"'
_cell_length_a 3.2474
_cell_length_b 3.2474
_cell_length_c 17.1841
_cell_angle_alpha 90.00
_cell_angle_beta 90.00
_cell_angle_gamma 120.00
loop_
_atom_site_label
_atom_site_type_symbol
_atom_site_fract_x
_atom_site_fract_y
_atom_site_fract_z
_atom_site_occupancy
Pu1 Pu 0.0000 0.0000 0.0000 1
Sc1 Sc 0.0000 0.0000 0.1758 1
H1 H 0.0000 0.0000 0.5715 1
H2 H 0.0000 0.0000 0.7755 1

Q:
# PuScH2 PBE relaxed
# * magnetization: 1.45 μB/atom
data_PuScH2
_chemical_formula_sum 'Pu3 Sc3 H6'
_space_group_name_H-M_alt 'R -3 m'
_space_group_IT_number 166
_space_group_name_Hall '-R 3 2"'
_cell_length_a 3.2759
_cell_length_b 3.2759
_cell_length_c 16.6388
_cell_angle_alpha 90.00
_cell_angle_beta 90.00
_cell_angle_gamma 120.00
loop_
_atom_site_label
_atom_site_type_symbol
_atom_site_fract_x
_atom_site_fract_y
_atom_site_fract_z
_atom_site_occupancy
Pu1 Pu 0.0000 0.0000 0.0000 1
Sc1 Sc 0.0000 0.0000 0.5000 1
H1 H 0.0000 0.0000 0.2332 1

The most stable arrangement is Q, and the next structure is 95 meV per atom less stable.

P:
# PuSc2H PBE relaxed
# * magnetization: 1.40 μB/atom
data_PuSc2H
_chemical_formula_sum 'Pu3 Sc6 H3'
_space_group_name_H-M_alt 'R -3 m'
_space_group_IT_number 166
_space_group_name_Hall '-R 3 2"'
_cell_length_a 3.2994
_cell_length_b 3.2994
_cell_length_c 23.6530
_cell_angle_alpha 90.00
_cell_angle_beta 90.00
_cell_angle_gamma 120.00
loop_
_atom_site_label
_atom_site_type_symbol
_atom_site_fract_x
_atom_site_fract_y
_atom_site_fract_z
_atom_site_occupancy
Pu1 Pu 0.0000 0.0000 0.0000 1
Sc1 Sc 0.0000 0.0000 0.2200 1
H1 H 0.0000 0.0000 0.5000 1

Q:
# PuSc2H PBE relaxed
# * magnetization: 1.21 μB/atom
data_PuSc2H
_chemical_formula_sum 'Pu1 Sc2 H1'
_space_group_name_H-M_alt 'P 4/m m m'
_space_group_IT_number 123
_space_group_name_Hall '-P 4 2'
_cell_length_a 3.007
_cell_length_b 3.007
_cell_length_c 8.052
_cell_angle_alpha 90.00
_cell_angle_beta 90.00
_cell_angle_gamma 90.00
loop_
_atom_site_label
_atom_site_type_symbol
_atom_site_fract_x
_atom_site_fract_y
_atom_site_fract_z
_atom_site_occupancy
Pu1 Pu 0.000 0.000 0.000 1
Sc1 Sc 0.500 0.500 0.313 1
H1 H 0.000 0.000 0.500 1

The most stable arrangement is P, and the next structure is 292 meV per atom less stable.

P:
# Pu2H2Se PBE relaxed
# * magnetization: 2.39 μB/atom
data_Pu2H2Se
_chemical_formula_sum 'Pu8 H8 Se4'
_space_group_name_H-M_alt 'C 1 2/c 1'
_space_group_IT_number 15
_cell_length_a 9.642
_cell_length_b 6.787
_cell_length_c 6.831
_cell_angle_alpha 90.00
_cell_angle_beta 131.53
_cell_angle_gamma 90.00
loop_
_space_group_symop_operation_xyz
'x,y,z'
'-x,-y,-z'
'-x,y,-z+1/2'
'x,-y,z+1/2'
'x+1/2,y+1/2,z'
'-x+1/2,-y+1/2,-z'
'-x+1/2,y+1/2,-z+1/2'
'x+1/2,-y+1/2,z+1/2'
loop_
_atom_site_label
_atom_site_type_symbol
_atom_site_fract_x
_atom_site_fract_y
_atom_site_fract_z
_atom_site_occupancy
Pu1 Pu 0.177 0.173 0.203 1
H1 H 0.117 0.112 0.476 1
Se1 Se 0.000 0.455 0.750 1

Q:
# Pu2H2Se PBE relaxed
# * magnetization: 2.37 μB/atom
data_Pu2H2Se
_chemical_formula_sum 'Pu4 H4 Se2'
_space_group_name_H-M_alt 'C 1 2/m 1'
_space_group_IT_number 12
_cell_length_a 5.208
_cell_length_b 5.215
_cell_length_c 6.640
_cell_angle_alpha 90.00
_cell_angle_beta 112.95
_cell_angle_gamma 90.00
loop_
_space_group_symop_operation_xyz
'x,y,z'
'-x,-y,-z'
'-x,y,-z'
'x,-y,z'
'x+1/2,y+1/2,z'
'-x+1/2,-y+1/2,-z'
'-x+1/2,y+1/2,-z'
'x+1/2,-y+1/2,z'
loop_
_atom_site_label
_atom_site_type_symbol
_atom_site_fract_x
_atom_site_fract_y
_atom_site_fract_z
_atom_site_occupancy
Pu1 Pu 0.138 0.000 0.277 1
H1 H 0.000 0.251 0.500 1
Se1 Se 0.000 0.500 0.000 1

The most stable arrangement is Q, and the next structure is 11 meV per atom less stable.

P:
# Pu2H4Se PBE relaxed
# * magnetization: 1.43 μB/atom
data_Pu2H4Se
_chemical_formula_sum 'Pu4 H8 Se2'
_space_group_name_H-M_alt 'P 42/m n m'
_space_group_IT_number 136
_space_group_name_Hall '-P 4n 2n'
_cell_length_a 7.013
_cell_length_b 7.013
_cell_length_c 3.763
_cell_angle_alpha 90.00
_cell_angle_beta 90.00
_cell_angle_gamma 90.00
loop_
_atom_site_label
_atom_site_type_symbol
_atom_site_fract_x
_atom_site_fract_y
_atom_site_fract_z
_atom_site_occupancy
Pu1 Pu 0.218 0.218 0.000 1
H1 H 0.096 0.668 0.000 1
Se1 Se 0.000 0.000 0.500 1

Q:
# Pu2H4Se PBE relaxed
# * magnetization: 1.43 μB/atom
data_Pu2H4Se
_chemical_formula_sum 'Pu6 H12 Se3'
_space_group_name_H-M_alt 'R -3 m'
_space_group_IT_number 166
_space_group_name_Hall '-R 3 2"'
_cell_length_a 3.8062
_cell_length_b 3.8062
_cell_length_c 21.3760
_cell_angle_alpha 90.00
_cell_angle_beta 90.00
_cell_angle_gamma 120.00
loop_
_atom_site_label
_atom_site_type_symbol
_atom_site_fract_x
_atom_site_fract_y
_atom_site_fract_z
_atom_site_occupancy
Pu1 Pu 0.0000 0.0000 0.2420 1
H1 H 0.0000 0.0000 0.1354 1
H2 H 0.0000 0.0000 0.4352 1
Se1 Se 0.0000 0.0000 0.0000 1

The most stable arrangement is Q, and the next structure is 82 meV per atom less stable.

P:
# PuSiH PBE relaxed
# * magnetization: 1.63 μB/atom
data_PuSiH
_chemical_formula_sum 'Pu1 Si1 H1'
_space_group_name_H-M_alt 'P -6 m 2'
_space_group_IT_number 187
_space_group_name_Hall 'P -6 2'
_cell_length_a 3.6275
_cell_length_b 3.6275
_cell_length_c 4.2988
_cell_angle_alpha 90.00
_cell_angle_beta 90.00
_cell_angle_gamma 120.00
loop_
_atom_site_label
_atom_site_type_symbol
_atom_site_fract_x
_atom_site_fract_y
_atom_site_fract_z
_atom_site_occupancy
Pu1 Pu 0.0000 0.0000 0.0000 1
Si1 Si 0.6667 0.3333 0.5000 1
H1 H 0.3333 0.6667 0.0000 1

Q:
# PuSiH PBE relaxed
# * magnetization: 1.71 μB/atom
data_PuSiH
_chemical_formula_sum 'Pu4 Si4 H4'
_space_group_name_H-M_alt 'C m c m'
_space_group_IT_number 63
_space_group_name_Hall '-C 2c 2'
_cell_length_a 4.099
_cell_length_b 10.964
_cell_length_c 3.928
_cell_angle_alpha 90.00
_cell_angle_beta 90.00
_cell_angle_gamma 90.00
loop_
_atom_site_label
_atom_site_type_symbol
_atom_site_fract_x
_atom_site_fract_y
_atom_site_fract_z
_atom_site_occupancy
Pu1 Pu 0.000 0.152 0.250 1
Si1 Si 0.000 0.438 0.250 1
H1 H 0.000 0.256 0.750 1

R:
# PuSiH PBE relaxed
# * magnetization: 1.88 μB/atom
data_PuSiH
_chemical_formula_sum 'Pu4 Si4 H4'
_space_group_name_H-M_alt 'P m n 21'
_space_group_IT_number 31
_cell_length_a 3.739
_cell_length_b 5.995
_cell_length_c 8.231
_cell_angle_alpha 90.00
_cell_angle_beta 90.00
_cell_angle_gamma 90.00
loop_
_space_group_symop_operation_xyz
'x,y,z'
'-x+1/2,-y,z+1/2'
'-x,y,z'
'x+1/2,-y,z+1/2'
loop_
_atom_site_label
_atom_site_type_symbol
_atom_site_fract_x
_atom_site_fract_y
_atom_site_fract_z
_atom_site_occupancy
Pu1 Pu 0.000 0.221 0.000 1
Pu2 Pu 0.000 0.225 0.609 1
Si1 Si 0.000 0.495 0.312 1
Si2 Si 0.000 0.762 0.796 1
H1 H 0.000 0.561 0.105 1
H2 H 0.000 0.946 0.173 1

The most stable arrangement is Q, and the next structure is 286 meV per atom less stable.